No. 1
A plane-wave DFT calculation with PBE was carried out for a relaxed Na5In3Br12 crystal.

Computed properties:
formation energy (no corrections): -1.010 eV per atom
total moment: 0.0000 μB per atom
VASP energy: -2.7547 eV/atom

a b c (Å): 15.773 15.773 15.773
angles (deg): 109.47 109.47 109.47
Fractional positions:
Na 0.000 0.000 0.000
Na 0.000 0.000 0.500
Na 0.000 0.500 0.000
Na 0.000 0.500 0.500
Na 0.125 0.750 0.875
Na 0.125 0.875 0.250
Na 0.250 0.125 0.875
Na 0.250 0.625 0.375
Na 0.375 0.250 0.625
Na 0.375 0.625 0.750
Na 0.500 0.000 0.000
Na 0.500 0.000 0.500
Na 0.500 0.500 0.000
Na 0.500 0.500 0.500
Na 0.625 0.375 0.250
Na 0.625 0.750 0.375
Na 0.750 0.375 0.625
Na 0.750 0.875 0.125
Na 0.875 0.125 0.750
Na 0.875 0.250 0.125
In 0.125 0.250 0.375
In 0.125 0.375 0.750
In 0.250 0.375 0.125
In 0.250 0.875 0.625
In 0.375 0.125 0.250
In 0.375 0.750 0.125
In 0.625 0.250 0.875
In 0.625 0.875 0.750
In 0.750 0.125 0.375
In 0.750 0.625 0.875
In 0.875 0.625 0.250
In 0.875 0.750 0.625
Br 0.022 0.639 0.193
Br 0.022 0.883 0.829
Br 0.054 0.171 0.693
Br 0.054 0.383 0.361
Br 0.117 0.171 0.978
Br 0.117 0.446 0.139
Br 0.139 0.117 0.446
Br 0.139 0.522 0.693
Br 0.171 0.693 0.054
Br 0.171 0.978 0.117
Br 0.193 0.022 0.639
Br 0.193 0.671 0.554
Br 0.307 0.861 0.478
Br 0.307 0.946 0.829
Br 0.329 0.383 0.522
Br 0.329 0.446 0.807
Br 0.361 0.054 0.383
Br 0.361 0.807 0.978
Br 0.383 0.361 0.054
Br 0.383 0.522 0.329
Br 0.446 0.139 0.117
Br 0.446 0.807 0.329
Br 0.478 0.307 0.861
Br 0.478 0.671 0.617
Br 0.522 0.329 0.383
Br 0.522 0.693 0.139
Br 0.554 0.193 0.671
Br 0.554 0.861 0.883
Br 0.617 0.478 0.671
Br 0.617 0.639 0.946
Br 0.639 0.193 0.022
Br 0.639 0.946 0.617
Br 0.671 0.554 0.193
Br 0.671 0.617 0.478
Br 0.693 0.054 0.171
Br 0.693 0.139 0.522
Br 0.807 0.329 0.446
Br 0.807 0.978 0.361
Br 0.829 0.022 0.883
Br 0.829 0.307 0.946
Br 0.861 0.478 0.307
Br 0.861 0.883 0.554
Br 0.883 0.554 0.861
Br 0.883 0.829 0.022
Br 0.946 0.617 0.639
Br 0.946 0.829 0.307
Br 0.978 0.117 0.171
Br 0.978 0.361 0.807

No. 2
A plane-wave DFT calculation with PBE was carried out for a relaxed La2CdPb2 crystal.

Computed properties:
energy above the most stable polymorph in this dataset: 0 meV/atom
total moment: 0.0002 μB per atom
formation energy from the elements: -49 kJ per mole of atoms
VASP energy: -4.1422 eV/atom

a b c (Å): 6.625 6.625 11.548
angles (deg): 113.56 113.56 43.03
Fractional positions:
La 0.002 0.002 0.330
La 0.179 0.179 0.104
La 0.821 0.821 0.896
La 0.998 0.998 0.670
Cd 0.297 0.297 0.668
Cd 0.703 0.703 0.332
Pb 0.351 0.351 0.429
Pb 0.454 0.454 0.110
Pb 0.546 0.546 0.890
Pb 0.649 0.649 0.571

No. 3
A plane-wave DFT calculation with PBE was carried out for a relaxed ZnH2O2 crystal.

Computed properties:
total moment: 0.0000 μB per atom
VASP energy: -4.7189 eV/atom

a b c (Å): 3.244 3.244 4.699
angles (deg): 90.00 90.00 120.00
Fractional positions:
Zn 0.000 0.000 0.000
H 0.333 0.667 0.428
H 0.667 0.333 0.572
O 0.333 0.667 0.221
O 0.667 0.333 0.779

No. 4
A plane-wave DFT calculation with PBE was carried out for a relaxed YFeCl2 crystal.

Computed properties:
energy above the most stable polymorph in this dataset: 365 meV/atom
formation energy (no corrections): -0.457 eV per atom
total moment: 0.6685 μB per atom
VASP energy: -5.1118 eV/atom

a b c (Å): 4.398 4.398 3.876
angles (deg): 90.00 90.00 90.00
Fractional positions:
Y 0.000 0.000 0.000
Fe 0.500 0.500 0.000
Cl 0.000 0.500 0.500
Cl 0.500 0.000 0.500

The highest total moment belongs to which entry? YFeCl2

What is the formula in the first record? Na5In3Br12